No. 1
A plane-wave DFT calculation with PBE was carried out for a geometry-optimized BaScFe3 structure.

Structure (CIF):
```
data_BaScFe3
_symmetry_space_group_name_H-M 'P 1'
_symmetry_Int_Tables_number 1
_cell_length_a 4.946
_cell_length_b 4.946
_cell_length_c 4.946
_cell_angle_alpha 90.00
_cell_angle_beta 90.00
_cell_angle_gamma 90.00
loop_
_symmetry_equiv_pos_as_xyz
'x,y,z'
loop_
_atom_site_label
_atom_site_fract_x
_atom_site_fract_y
_atom_site_fract_z
Fe1 0.500 0.000 0.000
Fe2 0.000 0.000 0.500
Fe3 0.000 0.500 0.000
Ba1 0.000 0.000 0.000
Sc1 0.500 0.500 0.500
```

Properties
The energy above the most stable polymorph in this dataset comes out at 0.946 eV/atom. The calculation puts the total moment at 7.3 Bohr magnetons per cell. The symmetry is No. 221. For the volume, the calculation gives 121.0 Å³/cell.

=====

No. 2
A plane-wave DFT calculation with PBE was carried out for a geometry-optimized BaSc2Fe structure.

Structure (CIF):
```
data_BaSc2Fe
_symmetry_space_group_name_H-M 'P 1'
_symmetry_Int_Tables_number 1
_cell_length_a 5.042
_cell_length_b 5.042
_cell_length_c 5.042
_cell_angle_alpha 60.00
_cell_angle_beta 60.00
_cell_angle_gamma 60.00
loop_
_symmetry_equiv_pos_as_xyz
'x,y,z'
loop_
_atom_site_label
_atom_site_fract_x
_atom_site_fract_y
_atom_site_fract_z
Sc1 0.250 0.250 0.250
Sc2 0.750 0.750 0.750
Ba1 0.500 0.500 0.500
Fe1 0.000 0.000 0.000
```

Properties
The energy above the most stable polymorph in this dataset comes out at 0.535 eV/atom. The calculation puts the total moment at 0.0 Bohr magnetons per cell. The symmetry is No. 225. For the volume, the calculation gives 90.7 Å³/cell.

=====

No. 3
A plane-wave DFT calculation with PBE was carried out for a geometry-optimized BaSc2Fe structure.

Structure (CIF):
```
data_BaSc2Fe
_symmetry_space_group_name_H-M 'P 1'
_symmetry_Int_Tables_number 1
_cell_length_a 10.295
_cell_length_b 10.295
_cell_length_c 10.295
_cell_angle_alpha 19.91
_cell_angle_beta 19.91
_cell_angle_gamma 19.91
loop_
_symmetry_equiv_pos_as_xyz
'x,y,z'
loop_
_atom_site_label
_atom_site_fract_x
_atom_site_fract_y
_atom_site_fract_z
Sc1 0.882 0.882 0.882
Sc2 0.118 0.118 0.118
Ba1 0.000 0.000 0.000
Fe1 0.500 0.500 0.500
```

Properties
The energy above the most stable polymorph in this dataset comes out at 0.213 eV/atom. The calculation puts the total moment at 0.6 Bohr magnetons per cell. The symmetry is No. 166. For the volume, the calculation gives 110.7 Å³/cell.

=====

No. 4
A plane-wave DFT calculation with PBE was carried out for a geometry-optimized BaSc3Fe structure.

Structure (CIF):
```
data_BaSc3Fe
_symmetry_space_group_name_H-M 'P 1'
_symmetry_Int_Tables_number 1
_cell_length_a 5.185
_cell_length_b 5.185
_cell_length_c 5.185
_cell_angle_alpha 90.00
_cell_angle_beta 90.00
_cell_angle_gamma 90.00
loop_
_symmetry_equiv_pos_as_xyz
'x,y,z'
loop_
_atom_site_label
_atom_site_fract_x
_atom_site_fract_y
_atom_site_fract_z
Sc1 0.500 0.000 0.000
Sc2 0.000 0.500 0.000
Sc3 0.000 0.000 0.500
Fe1 0.500 0.500 0.500
Ba1 0.000 0.000 0.000
```

Properties
The energy above the most stable polymorph in this dataset comes out at 1.802 eV/atom. The calculation puts the total moment at 0.2 Bohr magnetons per cell. The symmetry is No. 221. For the volume, the calculation gives 139.4 Å³/cell.

=====

No. 5
A plane-wave DFT calculation with PBE was carried out for a geometry-optimized BaSc2Fe structure.

Structure (CIF):
```
data_BaSc2Fe
_symmetry_space_group_name_H-M 'P 1'
_symmetry_Int_Tables_number 1
_cell_length_a 4.591
_cell_length_b 3.779
_cell_length_c 6.988
_cell_angle_alpha 74.32
_cell_angle_beta 90.00
_cell_angle_gamma 90.00
loop_
_symmetry_equiv_pos_as_xyz
'x,y,z'
loop_
_atom_site_label
_atom_site_fract_x
_atom_site_fract_y
_atom_site_fract_z
Fe1 0.500 0.888 0.849
Sc1 0.500 0.254 0.117
Sc2 0.000 0.818 0.988
Ba1 0.000 0.539 0.546
```

Properties
The energy above the most stable polymorph in this dataset comes out at 0.220 eV/atom. The calculation puts the total moment at 0.4 Bohr magnetons per cell. The symmetry is No. 38. For the volume, the calculation gives 116.7 Å³/cell.

=====

No. 6
A plane-wave DFT calculation with PBE was carried out for a geometry-optimized BaSc2Fe structure.

Structure (CIF):
```
data_BaSc2Fe
_symmetry_space_group_name_H-M 'P 1'
_symmetry_Int_Tables_number 1
_cell_length_a 5.064
_cell_length_b 4.500
_cell_length_c 4.500
_cell_angle_alpha 90.00
_cell_angle_beta 90.00
_cell_angle_gamma 90.00
loop_
_symmetry_equiv_pos_as_xyz
'x,y,z'
loop_
_atom_site_label
_atom_site_fract_x
_atom_site_fract_y
_atom_site_fract_z
Fe1 0.500 0.000 0.500
Sc1 0.000 0.000 0.000
Sc2 0.000 0.500 0.500
Ba1 0.500 0.500 0.000
```

Properties
The energy above the most stable polymorph in this dataset comes out at 0.500 eV/atom. The calculation puts the total moment at 1.4 Bohr magnetons per cell. The symmetry is No. 123. For the volume, the calculation gives 102.6 Å³/cell.

=====

No. 7
A plane-wave DFT calculation with PBE was carried out for a geometry-optimized BaSc2Fe structure.

Structure (CIF):
```
data_BaSc2Fe
_symmetry_space_group_name_H-M 'P 1'
_symmetry_Int_Tables_number 1
_cell_length_a 3.654
_cell_length_b 3.654
_cell_length_c 8.108
_cell_angle_alpha 90.00
_cell_angle_beta 90.00
_cell_angle_gamma 90.00
loop_
_symmetry_equiv_pos_as_xyz
'x,y,z'
loop_
_atom_site_label
_atom_site_fract_x
_atom_site_fract_y
_atom_site_fract_z
Fe1 0.500 0.500 0.847
Sc1 0.500 0.500 0.169
Sc2 0.000 0.000 0.944
Ba1 0.000 0.000 0.540
```

Properties
The energy above the most stable polymorph in this dataset comes out at 0.138 eV/atom. The calculation puts the total moment at 1.2 Bohr magnetons per cell. The symmetry is No. 99. For the volume, the calculation gives 108.3 Å³/cell.

=====

No. 8
A plane-wave DFT calculation with PBE was carried out for a geometry-optimized BaSc2Fe structure.

Structure (CIF):
```
data_BaSc2Fe
_symmetry_space_group_name_H-M 'P 1'
_symmetry_Int_Tables_number 1
_cell_length_a 6.447
_cell_length_b 5.608
_cell_length_c 3.271
_cell_angle_alpha 88.61
_cell_angle_beta 75.93
_cell_angle_gamma 115.39
loop_
_symmetry_equiv_pos_as_xyz
'x,y,z'
loop_
_atom_site_label
_atom_site_fract_x
_atom_site_fract_y
_atom_site_fract_z
Fe1 0.500 0.000 0.500
Sc1 0.000 0.500 0.500
Sc2 0.000 0.000 0.000
Ba1 0.500 0.500 0.000
```

Properties
The energy above the most stable polymorph in this dataset comes out at 0.549 eV/atom. The calculation puts the total moment at 1.6 Bohr magnetons per cell. The symmetry is No. 12. For the volume, the calculation gives 102.5 Å³/cell.

=====

No. 9
A plane-wave DFT calculation with PBE was carried out for a geometry-optimized BaSc2Fe structure.

Structure (CIF):
```
data_BaSc2Fe
_symmetry_space_group_name_H-M 'P 1'
_symmetry_Int_Tables_number 1
_cell_length_a 8.230
_cell_length_b 8.230
_cell_length_c 8.230
_cell_angle_alpha 157.24
_cell_angle_beta 149.33
_cell_angle_gamma 38.53
loop_
_symmetry_equiv_pos_as_xyz
'x,y,z'
loop_
_atom_site_label
_atom_site_fract_x
_atom_site_fract_y
_atom_site_fract_z
Fe1 0.232 0.732 0.500
Ba1 0.419 0.419 0.000
Sc1 0.107 0.107 0.000
Sc2 0.741 0.241 0.500
```

Properties
The energy above the most stable polymorph in this dataset comes out at 0.198 eV/atom. The calculation puts the total moment at 0.0 Bohr magnetons per cell. The symmetry is No. 44. For the volume, the calculation gives 109.8 Å³/cell.

=====

No. 10
A plane-wave DFT calculation with PBE was carried out for a geometry-optimized Ba3ScFe structure.

Structure (CIF):
```
data_Ba3ScFe
_symmetry_space_group_name_H-M 'P 1'
_symmetry_Int_Tables_number 1
_cell_length_a 5.863
_cell_length_b 5.863
_cell_length_c 5.863
_cell_angle_alpha 90.00
_cell_angle_beta 90.00
_cell_angle_gamma 90.00
loop_
_symmetry_equiv_pos_as_xyz
'x,y,z'
loop_
_atom_site_label
_atom_site_fract_x
_atom_site_fract_y
_atom_site_fract_z
Sc1 0.500 0.500 0.500
Ba1 0.000 0.500 0.000
Ba2 0.500 0.000 0.000
Ba3 0.000 0.000 0.500
Fe1 0.000 0.000 0.000
```

Properties
The energy above the most stable polymorph in this dataset comes out at 0.000 eV/atom. The calculation puts the total moment at 0.0 Bohr magnetons per cell. The symmetry is No. 221. For the volume, the calculation gives 201.6 Å³/cell.

=====

No. 11
A plane-wave DFT calculation with PBE was carried out for a geometry-optimized Ba2ScFe structure.

Structure (CIF):
```
data_Ba2ScFe
_symmetry_space_group_name_H-M 'P 1'
_symmetry_Int_Tables_number 1
_cell_length_a 3.852
_cell_length_b 3.852
_cell_length_c 9.445
_cell_angle_alpha 90.00
_cell_angle_beta 90.00
_cell_angle_gamma 90.00
loop_
_symmetry_equiv_pos_as_xyz
'x,y,z'
loop_
_atom_site_label
_atom_site_fract_x
_atom_site_fract_y
_atom_site_fract_z
Fe1 0.500 0.500 0.250
Sc1 0.500 0.500 0.750
Ba1 0.000 0.000 0.460
Ba2 0.000 0.000 0.040
```

Properties
The energy above the most stable polymorph in this dataset comes out at 0.336 eV/atom. The calculation puts the total moment at 3.7 Bohr magnetons per cell. The symmetry is No. 123. For the volume, the calculation gives 140.2 Å³/cell.

=====

No. 12
A plane-wave DFT calculation with PBE was carried out for a geometry-optimized Ba2ScFe structure.

Structure (CIF):
```
data_Ba2ScFe
_symmetry_space_group_name_H-M 'P 1'
_symmetry_Int_Tables_number 1
_cell_length_a 5.560
_cell_length_b 5.560
_cell_length_c 5.560
_cell_angle_alpha 60.00
_cell_angle_beta 60.00
_cell_angle_gamma 60.00
loop_
_symmetry_equiv_pos_as_xyz
'x,y,z'
loop_
_atom_site_label
_atom_site_fract_x
_atom_site_fract_y
_atom_site_fract_z
Sc1 0.000 0.000 0.000
Ba1 0.750 0.750 0.750
Ba2 0.250 0.250 0.250
Fe1 0.500 0.500 0.500
```

Properties
The energy above the most stable polymorph in this dataset comes out at 0.644 eV/atom. The calculation puts the total moment at 0.0 Bohr magnetons per cell. The symmetry is No. 225. For the volume, the calculation gives 121.6 Å³/cell.

=====

No. 13
A plane-wave DFT calculation with PBE was carried out for a geometry-optimized BaY2ScFe structure.

Structure (CIF):
```
data_BaY2ScFe
_symmetry_space_group_name_H-M 'P 1'
_symmetry_Int_Tables_number 1
_cell_length_a 5.433
_cell_length_b 5.433
_cell_length_c 5.122
_cell_angle_alpha 90.00
_cell_angle_beta 90.00
_cell_angle_gamma 90.00
loop_
_symmetry_equiv_pos_as_xyz
'x,y,z'
loop_
_atom_site_label
_atom_site_fract_x
_atom_site_fract_y
_atom_site_fract_z
Sc1 0.000 0.000 0.500
Y1 0.000 0.500 0.000
Y2 0.500 0.000 0.000
Ba1 0.500 0.500 0.500
Fe1 0.000 0.000 0.000
```

Properties
Its raw total energy is -5.81 eV/atom. The calculation puts the total moment at 0.0 Bohr magnetons per cell. The symmetry is No. 123. For the volume, the calculation gives 151.2 Å³/cell.

=====

No. 14
A plane-wave DFT calculation with PBE was carried out for a geometry-optimized BaYSc2Fe structure.

Structure (CIF):
```
data_BaYSc2Fe
_symmetry_space_group_name_H-M 'P 1'
_symmetry_Int_Tables_number 1
_cell_length_a 5.133
_cell_length_b 5.133
_cell_length_c 5.364
_cell_angle_alpha 90.00
_cell_angle_beta 90.00
_cell_angle_gamma 90.00
loop_
_symmetry_equiv_pos_as_xyz
'x,y,z'
loop_
_atom_site_label
_atom_site_fract_x
_atom_site_fract_y
_atom_site_fract_z
Y1 0.000 0.000 0.500
Fe1 0.000 0.000 0.000
Sc1 0.500 0.000 0.000
Sc2 0.000 0.500 0.000
Ba1 0.500 0.500 0.500
```

Properties
Its raw total energy is -5.79 eV/atom. The calculation puts the total moment at 0.0 Bohr magnetons per cell. The symmetry is No. 123. For the volume, the calculation gives 141.4 Å³/cell.